No. 1
Entry from Alexandria: a geometry-optimized Ba2TcTe structure (PBE-GGA).

Polymorph energy (0 for the lowest one) ... 194 meV/atom
E_form (uncorrected) ... 0.07 eV/atom
Total magnetic moment ... 3.01 Bohr magnetons per cell

a = 4.6958 Å, b = 4.6958 Å, c = 9.0269 Å
α = 74.99°, β = 74.99°, γ = 59.86°
Closest atoms and distances in Å follow each position.
Atoms (fractional coordinates):
1 Ba 0.9999 0.9999 0.0003  3 Te 3.46, 3 Tc 3.46
2 Ba 0.5001 0.5001 0.4997  3 Te 3.46, 3 Tc 3.46
3 Tc 0.7500 0.7500 0.7500  6 Ba 3.46
4 Te 0.2500 0.2500 0.2500  6 Ba 3.46

=====

No. 2
Entry from Alexandria: a geometry-optimized Ag5Pt3 structure (PBE-GGA).

Polymorph energy (0 for the lowest one) ... 32 meV/atom
Total magnetic moment ... 0.00 Bohr magnetons per cell
Energy of formation from the pure elements ... 36 meV per atom

a = 5.7858 Å, b = 5.7858 Å, c = 4.0340 Å
α = 90.00°, β = 90.00°, γ = 92.09°
Closest atoms and distances in Å follow each position.
Atoms (fractional coordinates):
1 Ag 0.0000 0.0000 0.0000  8 Ag 2.87-2.89, 4 Pt 2.90
2 Ag 0.0000 0.5000 0.0000  6 Ag 2.85-2.89, 6 Pt 2.89-2.90
3 Ag 0.5000 0.0000 0.0000  6 Ag 2.85-2.89, 6 Pt 2.89-2.90
4 Ag 0.7544 0.2456 0.5000  6 Ag 2.85-2.87, 6 Pt 2.86-2.93
5 Ag 0.2456 0.7544 0.5000  6 Ag 2.85-2.87, 6 Pt 2.86-2.93
6 Pt 0.5000 0.5000 0.0000  4 Pt 2.79, 8 Ag 2.89-2.93
7 Pt 0.2603 0.2603 0.5000  2 Pt 2.79, 10 Ag 2.86-2.92
8 Pt 0.7397 0.7397 0.5000  2 Pt 2.79, 10 Ag 2.86-2.92

=====

No. 3
Entry from Alexandria: a geometry-optimized RbLaOsO6 structure (PBE-GGA).

E_form (uncorrected) ... -1.78 eV/atom
Total magnetic moment ... 0.00 Bohr magnetons per cell

a = 5.8443 Å, b = 5.8443 Å, c = 6.0402 Å
α = 90.01°, β = 90.00°, γ = 60.00°
Closest atoms and distances in Å follow each position.
Atoms (fractional coordinates):
1 Rb 0.9999 0.0000 0.0000  6 O 2.97
2 La 0.6666 0.6667 0.5000  6 O 2.38
3 Os 0.3333 0.3333 0.5000  6 O 1.88
4 O 0.0623 0.3489 0.3216  1 Os 1.88
5 O 0.3489 0.0624 0.6784  1 Os 1.88
6 O 0.5886 0.3491 0.6784  1 Os 1.88
7 O 0.0623 0.5888 0.6784  1 Os 1.88
8 O 0.3490 0.5886 0.3215  1 Os 1.88
9 O 0.5887 0.0623 0.3216  1 Os 1.88

=====

No. 4
Entry from Alexandria: a geometry-optimized LiFe2Ru structure (PBE-GGA).

Total magnetic moment ... 4.52 Bohr magnetons per cell
Energy of formation from the pure elements ... 212 meV per atom

a = 4.4743 Å, b = 4.4743 Å, c = 4.5666 Å
α = 80.36°, β = 80.36°, γ = 33.52°
Closest atoms and distances in Å follow each position.
Atoms (fractional coordinates):
1 Fe 0.0024 0.0024 0.0126  3 Ru 2.52-2.55, 5 Fe 2.56-2.73, 4 Li 2.61-2.63
2 Fe 0.7423 0.7423 0.7410  3 Li 2.48-2.60, 5 Fe 2.56-2.73, 4 Ru 2.60-2.65
3 Li 0.4982 0.4982 0.5165  7 Fe 2.48-2.63, 2 Li 2.58, 3 Ru 2.63-2.70
4 Ru 0.2572 0.2572 0.2298  7 Fe 2.52-2.65, 2 Ru 2.58, 3 Li 2.63-2.70

=====

Q: Which value of total magnetic moment does entry 1 give?
A: 3.01 Bohr magnetons per cell

=====

Q: What is the total magnetic moment in the fourth record?
A: 4.52 Bohr magnetons per cell

=====

Q: Look up the total magnetic moment of the first one.
A: 3.01 Bohr magnetons per cell

=====

Q: Which value of total magnetic moment does entry 4 give?
A: 4.52 Bohr magnetons per cell